1.
# MgTe2As, relaxed, DFT GGA-PBEsol
data_MgTe2As
_chemical_formula_sum 'Mg1 Te2 As1'
_cell_length_a 3.991
_cell_length_b 4.018
_cell_length_c 6.607
_cell_angle_alpha 90.00
_cell_angle_beta 90.00
_cell_angle_gamma 90.00
_space_group_name_H-M_alt 'P m m m'
_space_group_IT_number 47
_space_group_name_Hall '-P 2 2'
loop_
_atom_site_label
_atom_site_type_symbol
_atom_site_fract_x
_atom_site_fract_y
_atom_site_fract_z
Mg1 Mg 0.000 0.000 0.000
Te1 Te 0.500 0.000 0.500
Te2 Te 0.500 0.500 0.000
As1 As 0.000 0.500 0.500
# Calculated total energy in eV per atom: -3.499
# Formation energy (no corrections) in eV/atom: -0.030

2.
# MgTlAs2, relaxed, DFT GGA-PBEsol
data_MgTlAs2
_chemical_formula_sum 'Mg1 Tl1 As2'
_cell_length_a 3.641
_cell_length_b 3.641
_cell_length_c 6.844
_cell_angle_alpha 90.00
_cell_angle_beta 90.00
_cell_angle_gamma 90.00
_space_group_name_H-M_alt 'P 4/m m m'
_space_group_IT_number 123
_space_group_name_Hall '-P 4 2'
loop_
_atom_site_label
_atom_site_type_symbol
_atom_site_fract_x
_atom_site_fract_y
_atom_site_fract_z
Mg1 Mg 0.000 0.000 0.000
Tl1 Tl 0.000 0.000 0.500
As1 As 0.500 0.500 0.180
# Calculated total energy in eV per atom: -3.790
# Energy of formation in eV/atom: -0.150

> Which value of calculated total energy does entry 2 give?

-3.790 eV per atom

> Which of these has the lowest calculated total energy?

MgTlAs2

> Which value of calculated total energy does entry 1 give?

-3.499 eV per atom

> Which value of calculated total energy does entry 1 give?

-3.499 eV per atom